## CoCuBi2S (GGA-PBEsol)

Data for crystalline CoCuBi2S at its relaxed geometry.

Cell lengths 5.3178, 5.3178, 3.8896 Å; angles 90.00, 90.00, 90.00 degrees
Space group P4/mmm (No. 123)
Inequivalent atoms, fractional coordinates:
Co (0.0000, 0.0000, 0.0000) (multiplicity 1)
Cu (0.5000, 0.5000, 0.5000) (multiplicity 1)
Bi (0.0000, 0.5000, 0.0000) (multiplicity 2)
S (0.0000, 0.0000, 0.5000) (multiplicity 1)

Calculated values
V = 110.0 Å³/cell
formation energy from raw total energies = 0.348 eV per atom
energy = -4.658 eV per atom
magnetization = 0.0 μB/cell